Entry 1:
VASP calculation (GGA-PBE) on a geometry-optimized CdPb2Se structure.

Cell lengths 8.832, 8.832, 8.832 Å; angles 26.18, 26.18, 26.18 degrees
Fractional positions:
Cd 0.750 0.750 0.750
Pb 0.994 0.994 0.994
Pb 0.506 0.506 0.506
Se 0.250 0.250 0.250

Values from the calculation:
Crystal system = trigonal
Total DFT energy (no corrections) = -3.084 eV per atom
Formation energy (no corrections) = -0.519 eV/f.u.
ΔE to the lowest computed polymorph = 0.030 eV/atom
Space group = R-3m
V = 29.5 Å³/atom



Entry 2:
VASP calculation (GGA-PBE) on a geometry-optimized CsKH3 structure.

Cell lengths 4.795, 7.680, 8.656 Å; angles 102.64, 90.00, 90.00 degrees
Fractional positions:
Cs 0.000 0.715 0.857
Cs 0.000 0.285 0.143
K 0.500 0.829 0.258
K 0.500 0.171 0.742
H 0.500 0.556 0.647
H 0.500 0.444 0.353
H 0.500 0.639 0.611
H 0.500 0.500 0.000
H 0.500 0.361 0.389
H 0.500 0.000 0.000

Values from the calculation:
Crystal system = monoclinic
Total DFT energy (no corrections) = -2.431 eV per atom
Space group = P2/m
V = 31.1 Å³/atom



Entry 3:
VASP calculation (GGA-PBE) on a geometry-optimized La3NiPd structure.

Cell lengths 4.068, 8.256, 8.419 Å; angles 95.48, 90.01, 104.29 degrees
Fractional positions:
La 0.926 0.819 0.398
La 0.582 0.131 0.665
La 0.374 0.715 0.757
La 0.030 0.027 0.024
La 0.746 0.460 0.016
La 0.210 0.386 0.405
Ni 0.764 0.495 0.642
Ni 0.192 0.352 0.779
Pd 0.572 0.111 0.282
Pd 0.384 0.734 0.140

Values from the calculation:
Crystal system = monoclinic
Total DFT energy (no corrections) = -5.611 eV per atom
Formation energy from the elements = -0.460 eV per atom
ΔE to the lowest computed polymorph = 0.000 eV/atom
Space group = Cm
V = 27.3 Å³/atom



Entry 4:
VASP calculation (GGA-PBE) on a geometry-optimized ErPuIr2 structure.

Cell lengths 4.829, 4.829, 4.829 Å; angles 60.00, 60.00, 60.00 degrees
Fractional positions:
Er 0.500 0.500 0.500
Ir 0.250 0.250 0.250
Ir 0.750 0.750 0.750
Pu 0.000 0.000 0.000

Values from the calculation:
Crystal system = cubic
Total DFT energy (no corrections) = -9.779 eV per atom
Formation energy from the elements = -0.625 eV per atom
ΔE to the lowest computed polymorph = 0.000 eV/atom
Space group = Fm-3m
V = 19.9 Å³/atom



Entry 5:
VASP calculation (GGA-PBE) on a geometry-optimized CaMg4Cd15 structure.

Cell lengths 4.577, 4.577, 21.572 Å; angles 90.00, 90.00, 90.00 degrees
Fractional positions:
Ca 0.000 0.000 0.000
Mg 0.000 0.000 0.206
Mg 0.000 0.000 0.402
Mg 0.000 0.000 0.598
Mg 0.000 0.000 0.794
Cd 0.500 0.500 0.000
Cd 0.500 0.500 0.207
Cd 0.500 0.500 0.400
Cd 0.500 0.500 0.600
Cd 0.500 0.500 0.793
Cd 0.500 0.000 0.109
Cd 0.500 0.000 0.304
Cd 0.500 0.000 0.500
Cd 0.500 0.000 0.696
Cd 0.500 0.000 0.891
Cd 0.000 0.500 0.109
Cd 0.000 0.500 0.304
Cd 0.000 0.500 0.500
Cd 0.000 0.500 0.696
Cd 0.000 0.500 0.891

Values from the calculation:
Crystal system = tetragonal
Total DFT energy (no corrections) = -1.213 eV per atom
Formation energy from the elements = -0.107 eV per atom
Space group = P4/mmm
V = 22.6 Å³/atom



Entry 6:
VASP calculation (GGA-PBE) on a geometry-optimized YHoHg2 structure.

Cell lengths 5.259, 5.259, 5.259 Å; angles 60.00, 60.00, 60.00 degrees
Fractional positions:
Y 0.250 0.250 0.250
Hg 0.000 0.000 0.000
Hg 0.500 0.500 0.500
Ho 0.750 0.750 0.750

Values from the calculation:
Crystal system = cubic
Total DFT energy (no corrections) = -3.406 eV per atom
Formation energy from the elements = -0.495 eV per atom
Space group = Fm-3m
V = 25.7 Å³/atom



Entry 7:
VASP calculation (GGA-PBE) on a geometry-optimized Sc3Al2Pd6 structure.

Cell lengths 8.024, 8.024, 8.024 Å; angles 109.47, 109.47, 109.47 degrees
Fractional positions:
Sc 0.702 0.000 0.702
Sc 0.298 0.000 0.298
Sc 0.000 0.298 0.298
Sc 0.000 0.702 0.702
Sc 0.298 0.298 0.000
Sc 0.702 0.702 0.000
Al 0.000 0.500 0.000
Al 0.500 0.000 0.000
Al 0.000 0.000 0.500
Al 0.500 0.500 0.500
Pd 0.670 0.340 0.670
Pd 0.670 0.000 0.330
Pd 0.330 0.000 0.670
Pd 0.330 0.660 0.330
Pd 0.000 0.670 0.330
Pd 0.660 0.330 0.330
Pd 0.340 0.670 0.670
Pd 0.000 0.330 0.670
Pd 0.330 0.670 0.000
Pd 0.670 0.670 0.340
Pd 0.330 0.330 0.660
Pd 0.670 0.330 0.000

Values from the calculation:
Crystal system = cubic
Total DFT energy (no corrections) = -6.026 eV per atom
Formation energy from the elements = -0.787 eV per atom
Space group = Im-3m
V = 18.1 Å³/atom



Entry 8:
VASP calculation (GGA-PBE) on a geometry-optimized SrAsOsSe2 structure.

Cell lengths 5.252, 5.252, 4.609 Å; angles 90.00, 90.00, 90.00 degrees
Fractional positions:
Sr 0.500 0.500 0.500
As 0.000 0.000 0.500
Os 0.000 0.000 0.000
Se 0.000 0.500 0.000
Se 0.500 0.000 0.000

Values from the calculation:
Crystal system = tetragonal
Total DFT energy (no corrections) = -5.163 eV per atom
Formation energy (no corrections) = -1.283 eV/f.u.
ΔE to the lowest computed polymorph = 0.000 eV/atom
Space group = P4/mmm
V = 25.4 Å³/atom



Entry 9:
VASP calculation (GGA-PBE) on a geometry-optimized RbTi2In structure.

Cell lengths 4.867, 4.867, 11.283 Å; angles 77.54, 77.54, 90.00 degrees
Fractional positions:
Ti 0.844 0.125 0.250
Ti 0.906 0.625 0.250
Ti 0.375 0.156 0.750
Ti 0.875 0.094 0.750
Rb 0.500 0.500 0.000
Rb 0.250 0.750 0.500
In 0.000 0.000 0.000
In 0.750 0.250 0.500

Values from the calculation:
Crystal system = tetragonal
Total DFT energy (no corrections) = -3.891 eV per atom
Formation energy from the elements = 0.983 eV per atom
Space group = I-42d
V = 31.8 Å³/atom



Entry 10:
VASP calculation (GGA-PBE) on a geometry-optimized In3NiN structure.

Cell lengths 4.880, 4.880, 4.880 Å; angles 90.00, 90.00, 90.00 degrees
Fractional positions:
Ni 0.000 0.000 0.000
N 0.500 0.500 0.500
In 0.000 0.500 0.000
In 0.000 0.000 0.500
In 0.500 0.000 0.000

Values from the calculation:
Crystal system = cubic
Total DFT energy (no corrections) = -3.643 eV per atom
Formation energy (no corrections) = 4.105 eV/f.u.
ΔE to the lowest computed polymorph = 0.111 eV/atom
Space group = Pm-3m
V = 23.2 Å³/atom



Entry 11:
VASP calculation (GGA-PBE) on a geometry-optimized Y3Tm2Sc8 structure.

Cell lengths 6.668, 8.667, 8.902 Å; angles 119.13, 119.71, 90.00 degrees
Fractional positions:
Y 0.500 0.000 0.000
Y 0.000 0.183 0.000
Y 0.000 0.817 0.000
Tm 0.549 0.237 0.474
Tm 0.451 0.763 0.526
Sc 0.883 0.566 0.133
Sc 0.117 0.434 0.867
Sc 0.995 0.195 0.390
Sc 0.005 0.805 0.610
Sc 0.412 0.563 0.754
Sc 0.412 0.192 0.754
Sc 0.588 0.808 0.246
Sc 0.588 0.437 0.246

Values from the calculation:
Crystal system = monoclinic
Total DFT energy (no corrections) = -5.824 eV per atom
Formation energy from the elements = 0.252 eV per atom
Space group = C2/m
V = 28.5 Å³/atom



Entry 12:
VASP calculation (GGA-PBE) on a geometry-optimized Li3AlHg structure.

Cell lengths 4.902, 4.902, 4.902 Å; angles 90.00, 90.00, 90.00 degrees
Fractional positions:
Li 0.000 0.500 0.000
Li 0.000 0.000 0.500
Li 0.500 0.000 0.000
Hg 0.000 0.000 0.000
Al 0.500 0.500 0.500

Values from the calculation:
Crystal system = cubic
Total DFT energy (no corrections) = -1.750 eV per atom
Formation energy from the elements = 0.207 eV per atom
ΔE to the lowest computed polymorph = 0.453 eV/atom
Space group = Pm-3m
V = 23.6 Å³/atom



Short version: density of states at the Fermi level = 2.0, 1.2, 5.4, 7.1, 7.6, 3.5, 6.6, 4.2, 6.2, 2.0, 20.1, 2.0 states/eV/f.u., in the order given.